1.
Entry from OQMD: a relaxed UGaB crystal (PBE).

a b c (Å): 4.1623 4.1623 4.1623
angles (deg): 60.00 60.00 60.00
Fractional positions:
U 0.0000 0.0000 0.0000
Ga 0.5000 0.5000 0.5000
B 0.7500 0.7500 0.7500

Calculated values
Energy above the most stable polymorph in this dataset   0 meV per atom
Calculated total energy   -6.72 eV/atom
Space-group type   F-43m



2.
Entry from OQMD: a relaxed UGaB crystal (PBE).

a b c (Å): 4.3002 4.3002 4.3002
angles (deg): 60.00 60.00 60.00
Fractional positions:
U 0.0000 0.0000 0.0000
Ga 0.7500 0.7500 0.7500
B 0.5000 0.5000 0.5000

Calculated values
Energy above the most stable polymorph in this dataset   772 meV per atom
Calculated total energy   -5.95 eV/atom
Space-group type   F-43m



3.
Entry from OQMD: a relaxed GaB2W2 crystal (PBE).

a b c (Å): 5.9639 5.9639 3.1724
angles (deg): 90.00 90.00 149.89
Fractional positions:
Ga 0.0000 0.0000 0.0000
B 0.2084 0.7916 0.0000
B 0.7916 0.2084 0.0000
W 0.3580 0.6420 0.5000
W 0.6420 0.3580 0.5000

Calculated values
Calculated total energy   -8.54 eV/atom
Space-group type   Cmmm



4.
Entry from OQMD: a relaxed GaBW crystal (PBE).

a b c (Å): 3.8055 3.8055 3.8055
angles (deg): 60.00 60.00 60.00
Fractional positions:
Ga 0.0000 0.0000 0.0000
B 0.2500 0.2500 0.2500
W 0.5000 0.5000 0.5000

Calculated values
Energy above the most stable polymorph in this dataset   0 meV per atom
Calculated total energy   -6.95 eV/atom
Space-group type   F-43m



5.
Entry from OQMD: a relaxed GaBW crystal (PBE).

a b c (Å): 4.0153 4.0153 4.0153
angles (deg): 60.00 60.00 60.00
Fractional positions:
Ga 0.0000 0.0000 0.0000
B 0.5000 0.5000 0.5000
W 0.7500 0.7500 0.7500

Calculated values
Energy above the most stable polymorph in this dataset   630 meV per atom
Calculated total energy   -6.32 eV/atom
Space-group type   F-43m



6.
Entry from OQMD: a relaxed GaB2W3 crystal (PBE).

a b c (Å): 3.1021 3.1021 18.5862
angles (deg): 90.00 90.00 120.00
Fractional positions:
Ga 0.0000 0.0000 0.2500
Ga 0.0000 0.0000 0.7500
B 0.3333 0.6667 0.0711
B 0.3333 0.6667 0.4289
B 0.6667 0.3333 0.5711
B 0.6667 0.3333 0.9289
W 0.0000 0.0000 0.0000
W 0.0000 0.0000 0.5000
W 0.3333 0.6667 0.6369
W 0.3333 0.6667 0.8631
W 0.6667 0.3333 0.1369
W 0.6667 0.3333 0.3631

Calculated values
Calculated total energy   -9.35 eV/atom
Space-group type   P6_3/mmc



7.
Entry from OQMD: a relaxed GaBW2 crystal (PBE).

a b c (Å): 3.1190 3.1190 13.1130
angles (deg): 90.00 90.00 120.00
Fractional positions:
Ga 0.3333 0.6667 0.2500
Ga 0.6667 0.3333 0.7500
B 0.0000 0.0000 0.0000
B 0.0000 0.0000 0.5000
W 0.3333 0.6667 0.5922
W 0.3333 0.6667 0.9078
W 0.6667 0.3333 0.0922
W 0.6667 0.3333 0.4078

Calculated values
Calculated total energy   -9.01 eV/atom
Space-group type   P6_3/mmc



8.
Entry from OQMD: a relaxed ZnGa2B crystal (PBE).

a b c (Å): 4.3996 4.3996 4.3996
angles (deg): 60.00 60.00 60.00
Fractional positions:
Zn 0.0000 0.0000 0.0000
Ga 0.2500 0.2500 0.2500
Ga 0.5000 0.5000 0.5000
B 0.7500 0.7500 0.7500

Calculated values
Calculated total energy   -2.72 eV/atom
Space-group type   F-43m